# 1
# LaTb2Ho7 (GGA-PBE, relaxed)
# - Theoretical density: 8.43 g cm⁻³
# - Energy above the most stable polymorph in this dataset: 0.0000 eV per atom
# - Energy relative to the elements: 0.023 eV/atom
# - DFT total energy: -4.6005 eV per atom
data_LaTb2Ho7
_cell_length_a 6.151
_cell_length_b 7.115
_cell_length_c 7.942
_cell_angle_alpha 77.19
_cell_angle_beta 75.06
_cell_angle_gamma 73.31
_symmetry_space_group_name_H-M 'P -1'
_symmetry_Int_Tables_number 2
loop_
_symmetry_equiv_pos_as_xyz
'x,y,z'
'-x,-y,-z'
loop_
_atom_site_label
_atom_site_type_symbol
_atom_site_fract_x
_atom_site_fract_y
_atom_site_fract_z
_atom_site_occupancy
La1 La 0.000 0.000 0.000 1
Tb1 Tb 0.200 0.301 0.599 1
Ho1 Ho 0.000 0.500 0.000 1
Ho2 Ho 0.201 0.799 0.599 1
Ho3 Ho 0.400 0.100 0.202 1
Ho4 Ho 0.402 0.598 0.202 1


# 2
# LaTbHo2 (GGA-PBE, relaxed)
# - Theoretical density: 7.95 g cm⁻³
# - Energy above the most stable polymorph in this dataset: 0.0199 eV per atom
# - Energy relative to the elements: 0.031 eV/atom
# - DFT total energy: -4.6471 eV per atom
data_LaTbHo2
_cell_length_a 3.601
_cell_length_b 3.601
_cell_length_c 10.115
_cell_angle_alpha 90.00
_cell_angle_beta 90.00
_cell_angle_gamma 90.00
_symmetry_space_group_name_H-M 'P 4/m m m'
_symmetry_Int_Tables_number 123
_symmetry_space_group_name_Hall '-P 4 2'
loop_
_atom_site_label
_atom_site_type_symbol
_atom_site_fract_x
_atom_site_fract_y
_atom_site_fract_z
_atom_site_occupancy
La1 La 0.000 0.000 0.000 1
Tb1 Tb 0.000 0.000 0.500 1
Ho1 Ho 0.500 0.500 0.257 1


# 3
# La6Tb12Ho (GGA-PBE, relaxed)
# - Theoretical density: 7.22 g cm⁻³
# - Energy above the most stable polymorph in this dataset: 0.1783 eV per atom
# - Energy relative to the elements: 0.309 eV/atom
# - DFT total energy: -4.4128 eV per atom
data_La6Tb12Ho
_cell_length_a 16.7960
_cell_length_b 16.7960
_cell_length_c 8.2058
_cell_angle_alpha 90.00
_cell_angle_beta 90.00
_cell_angle_gamma 120.00
_symmetry_space_group_name_H-M 'R -3 m'
_symmetry_Int_Tables_number 166
_symmetry_space_group_name_Hall '-R 3 2"'
loop_
_atom_site_label
_atom_site_type_symbol
_atom_site_fract_x
_atom_site_fract_y
_atom_site_fract_z
_atom_site_occupancy
La1 La 0.0990 0.1979 0.0761 1
Tb1 Tb 0.0000 0.3837 0.0000 1
Tb2 Tb 0.1089 0.2177 0.6188 1
Ho1 Ho 0.0000 0.0000 0.5000 1


# 4
# La3Tb5Ho3 (GGA-PBE, relaxed)
# - Theoretical density: 6.22 g cm⁻³
# - Energy relative to the elements: 0.732 eV/atom
# - DFT total energy: -3.9649 eV per atom
data_La3Tb5Ho3
_cell_length_a 9.6184
_cell_length_b 9.6184
_cell_length_c 5.6880
_cell_angle_alpha 90.00
_cell_angle_beta 90.00
_cell_angle_gamma 120.00
_symmetry_space_group_name_H-M 'P -6 2 m'
_symmetry_Int_Tables_number 189
_symmetry_space_group_name_Hall 'P -6 -2'
loop_
_atom_site_label
_atom_site_type_symbol
_atom_site_fract_x
_atom_site_fract_y
_atom_site_fract_z
_atom_site_occupancy
La1 La 0.0000 0.5891 0.0000 1
Tb1 Tb 0.0000 0.7369 0.5000 1
Tb2 Tb 0.3333 0.6667 0.5000 1
Ho1 Ho 0.0000 0.3745 0.5000 1


# 5
# La5Tb2Ho2 (GGA-PBE, relaxed)
# - Theoretical density: 7.17 g cm⁻³
# - Energy above the most stable polymorph in this dataset: 0.1353 eV per atom
# - Energy relative to the elements: 0.162 eV/atom
# - DFT total energy: -4.6218 eV per atom
data_La5Tb2Ho2
_cell_length_a 15.204
_cell_length_b 12.986
_cell_length_c 6.300
_cell_angle_alpha 90.00
_cell_angle_beta 90.00
_cell_angle_gamma 90.00
_symmetry_space_group_name_H-M 'I m a 2'
_symmetry_Int_Tables_number 46
loop_
_symmetry_equiv_pos_as_xyz
'x,y,z'
'-x,-y,z'
'-x+1/2,y,z'
'x+1/2,-y,z'
'x+1/2,y+1/2,z+1/2'
'-x+1/2,-y+1/2,z+1/2'
'-x,y+1/2,z+1/2'
'x,-y+1/2,z+1/2'
loop_
_atom_site_label
_atom_site_type_symbol
_atom_site_fract_x
_atom_site_fract_y
_atom_site_fract_z
_atom_site_occupancy
La1 La 0.050 0.200 0.000 1
La2 La 0.144 0.683 0.843 1
La3 La 0.250 0.170 0.752 1
Tb1 Tb 0.135 0.551 0.346 1
Ho1 Ho 0.000 0.000 0.407 1
Ho2 Ho 0.250 0.059 0.275 1


# 6
# La5Tb2Ho2 (GGA-PBE, relaxed)
# - Theoretical density: 7.18 g cm⁻³
# - Energy above the most stable polymorph in this dataset: 0.0000 eV per atom
# - Energy relative to the elements: 0.026 eV/atom
# - DFT total energy: -4.7572 eV per atom
data_La5Tb2Ho2
_cell_length_a 6.304
_cell_length_b 6.312
_cell_length_c 9.675
_cell_angle_alpha 71.22
_cell_angle_beta 71.45
_cell_angle_gamma 60.20
_symmetry_space_group_name_H-M 'P -1'
_symmetry_Int_Tables_number 2
loop_
_symmetry_equiv_pos_as_xyz
'x,y,z'
'-x,-y,-z'
loop_
_atom_site_label
_atom_site_type_symbol
_atom_site_fract_x
_atom_site_fract_y
_atom_site_fract_z
_atom_site_occupancy
La1 La 0.000 0.000 0.000 1
La2 La 0.111 0.443 0.668 1
La3 La 0.445 0.779 0.668 1
Tb1 Tb 0.334 0.330 0.000 1
Ho1 Ho 0.223 0.890 0.332 1


# 7
# La3TbHo (GGA-PBE, relaxed)
# - Theoretical density: 6.87 g cm⁻³
# - Energy above the most stable polymorph in this dataset: 0.0962 eV per atom
# - Energy relative to the elements: 0.152 eV/atom
# - DFT total energy: -4.6462 eV per atom
data_La3TbHo
_cell_length_a 3.612
_cell_length_b 17.760
_cell_length_c 11.155
_cell_angle_alpha 90.00
_cell_angle_beta 90.00
_cell_angle_gamma 90.00
_symmetry_space_group_name_H-M 'P b c m'
_symmetry_Int_Tables_number 57
loop_
_symmetry_equiv_pos_as_xyz
'x,y,z'
'-x,-y,-z'
'-x,-y,z+1/2'
'x,y,-z+1/2'
'x,-y+1/2,-z'
'-x,y+1/2,z'
'-x,y+1/2,-z+1/2'
'x,-y+1/2,z+1/2'
loop_
_atom_site_label
_atom_site_type_symbol
_atom_site_fract_x
_atom_site_fract_y
_atom_site_fract_z
_atom_site_occupancy
La1 La 0.228 0.250 0.000 1
La2 La 0.263 0.575 0.059 1
Tb1 Tb 0.218 0.103 0.750 1
Ho1 Ho 0.281 0.726 0.250 1


# 8
# LaTb4Ho4 (GGA-PBE, relaxed)
# - Theoretical density: 8.17 g cm⁻³
# - Energy above the most stable polymorph in this dataset: 0.0152 eV per atom
# - Energy relative to the elements: 0.039 eV/atom
# - DFT total energy: -4.6008 eV per atom
data_LaTb4Ho4
_cell_length_a 6.794
_cell_length_b 8.680
_cell_length_c 10.658
_cell_angle_alpha 78.25
_cell_angle_beta 74.91
_cell_angle_gamma 76.36
_symmetry_space_group_name_H-M 'P -1'
_symmetry_Int_Tables_number 2
loop_
_symmetry_equiv_pos_as_xyz
'x,y,z'
'-x,-y,-z'
loop_
_atom_site_label
_atom_site_type_symbol
_atom_site_fract_x
_atom_site_fract_y
_atom_site_fract_z
_atom_site_occupancy
La1 La 0.241 0.468 0.216 1
Tb1 Tb 0.086 0.164 0.461 1
Tb2 Tb 0.381 0.834 0.630 1
Tb3 Tb 0.387 0.840 0.962 1
Tb4 Tb 0.392 0.838 0.296 1
Ho1 Ho 0.081 0.168 0.792 1
Ho2 Ho 0.084 0.163 0.123 1
Ho3 Ho 0.244 0.478 0.879 1
Ho4 Ho 0.246 0.478 0.547 1


Which value of theoretical density does entry 2 give? 7.95 g cm⁻³


What is the formula in the first record? LaTb2Ho7


Look up the energy relative to the elements of the fifth one. 0.162 eV/atom